Record 1
Density functional theory data (PBE-GGA) for an optimized crystal structure of BeTlCl2.

POSCAR file:
```
BeTlCl2
1.0
-3.299 3.299 4.628
3.299 -3.299 4.628
3.299 3.299 -4.628
Be Tl Cl
2 2 4
Direct
0.000 0.000 0.000
0.750 0.250 0.500
0.250 0.750 0.500
0.500 0.500 0.000
0.375 0.189 0.314
0.811 0.125 0.186
0.875 0.061 0.686
0.939 0.625 0.814
```

Values from the calculation:
ΔE_f (raw), meV/atom: -597
Relative energy among the computed polymorphs, eV/atom: 0.170
SG: I-42d, No. 122

Record 2
Density functional theory data (PBE-GGA) for an optimized crystal structure of Li6Ag2Pb.

POSCAR file:
```
Li6Ag2Pb
1.0
6.785 -3.878 0.000
6.785 3.878 0.000
-0.079 0.000 3.017
Li Ag Pb
6 2 1
Direct
0.163 0.501 0.978
0.164 0.836 0.000
0.499 0.837 0.022
0.501 0.163 0.978
0.836 0.164 0.000
0.837 0.499 0.022
0.167 0.167 0.502
0.833 0.833 0.498
0.500 0.500 0.500
```

Values from the calculation:
Relative energy among the computed polymorphs, eV/atom: 0.039
Energy of formation from the pure elements, eV/atom: -0.18
SG: C2/m, No. 12

Record 3
Density functional theory data (PBE-GGA) for an optimized crystal structure of Ag2GeBiTe4.

POSCAR file:
```
Ag2GeBiTe4
1.0
-3.431 3.431 6.005
3.431 -3.431 6.005
3.431 3.431 -6.005
Ag Ge Bi Te
2 1 1 4
Direct
0.250 0.750 0.500
0.750 0.250 0.500
0.000 0.000 0.000
0.500 0.500 0.000
0.096 0.642 0.000
0.358 0.358 0.454
0.642 0.096 0.000
0.904 0.904 0.546
```

Values from the calculation:
ΔE_f (raw), meV/atom: -52
SG: I-42m, No. 121

Record 4
Density functional theory data (PBE-GGA) for an optimized crystal structure of Sr2Ca5Al2.

POSCAR file:
```
Sr2Ca5Al2
1.0
10.652 -4.101 0.000
10.652 4.101 0.000
0.000 0.000 8.195
Sr Ca Al
4 10 4
Direct
0.235 0.235 0.000
0.265 0.265 0.500
0.735 0.735 0.500
0.765 0.765 0.000
0.000 0.000 0.000
0.079 0.721 0.679
0.221 0.579 0.179
0.279 0.921 0.679
0.421 0.779 0.179
0.500 0.500 0.500
0.579 0.221 0.821
0.721 0.079 0.321
0.779 0.421 0.821
0.921 0.279 0.321
0.113 0.887 0.387
0.387 0.613 0.887
0.613 0.387 0.113
0.887 0.113 0.613
```

Values from the calculation:
Energy of formation from the pure elements, eV/atom: -0.06
SG: Cmce, No. 64

Record 5
Density functional theory data (PBE-GGA) for an optimized crystal structure of Li7CuPd3.

POSCAR file:
```
Li7CuPd3
1.0
1.382 -10.335 0.000
1.382 10.335 0.000
0.000 0.000 11.879
Li Cu Pd
14 2 6
Direct
0.054 0.946 0.632
0.054 0.946 0.868
0.092 0.908 0.097
0.092 0.908 0.403
0.185 0.815 0.750
0.222 0.778 0.096
0.222 0.778 0.404
0.778 0.222 0.596
0.778 0.222 0.904
0.815 0.185 0.250
0.908 0.092 0.597
0.908 0.092 0.903
0.946 0.054 0.132
0.946 0.054 0.368
0.468 0.532 0.750
0.532 0.468 0.250
0.341 0.659 0.750
0.345 0.655 0.061
0.345 0.655 0.439
0.655 0.345 0.561
0.655 0.345 0.939
0.659 0.341 0.250
```

Values from the calculation:
Energy of formation from the pure elements, eV/atom: -0.27
SG: Cmcm, No. 63

Record 6
Density functional theory data (PBE-GGA) for an optimized crystal structure of CdFeCoNi2.

POSCAR file:
```
CdFeCoNi2
1.0
4.278 0.000 0.000
0.000 4.278 0.000
0.000 0.000 4.748
Cd Fe Co Ni
1 1 1 2
Direct
0.000 0.000 0.000
0.500 0.500 0.000
0.000 0.000 0.500
0.000 0.500 0.500
0.500 0.000 0.500
```

Values from the calculation:
Energy of formation from the pure elements, eV/atom: 1.13
SG: P4/mmm, No. 123

Record 7
Density functional theory data (PBE-GGA) for an optimized crystal structure of Na2InC.

POSCAR file:
```
Na2InC
1.0
-1.956 1.956 10.101
1.956 -1.956 10.101
1.956 1.956 -10.101
Na In C
4 2 2
Direct
0.085 0.625 0.960
0.375 0.335 0.460
0.665 0.125 0.040
0.875 0.915 0.540
0.250 0.750 0.500
0.500 0.500 0.000
0.000 0.000 0.000
0.750 0.250 0.500
```

Values from the calculation:
Relative energy among the computed polymorphs, eV/atom: 0.003
Energy of formation from the pure elements, eV/atom: 1.19
SG: I-42d, No. 122

Record 8
Density functional theory data (PBE-GGA) for an optimized crystal structure of Ca2AlSi4Pd3.

POSCAR file:
```
Ca2AlSi4Pd3
1.0
4.093 0.000 0.000
0.000 4.093 0.000
0.000 0.000 10.647
Ca Al Si Pd
2 1 4 3
Direct
0.000 0.500 0.249
0.500 0.000 0.751
0.000 0.000 0.500
0.000 0.000 0.000
0.000 0.500 0.643
0.500 0.000 0.357
0.500 0.500 0.000
0.000 0.500 0.873
0.500 0.000 0.127
0.500 0.500 0.500
```

Values from the calculation:
ΔE_f (raw), meV/atom: -671
SG: P-4m2, No. 115

Record 9
Density functional theory data (PBE-GGA) for an optimized crystal structure of Sr2TlInHg6.

POSCAR file:
```
Sr2TlInHg6
1.0
5.612 -5.592 0.000
5.612 5.592 0.000
-5.583 0.000 5.644
Sr Tl In Hg
2 1 1 6
Direct
0.250 0.750 0.000
0.750 0.250 0.000
0.000 0.000 0.500
0.500 0.500 0.500
0.253 0.253 0.005
0.253 0.253 0.500
0.253 0.747 0.500
0.747 0.253 0.500
0.747 0.747 0.500
0.747 0.747 0.995
```

Values from the calculation:
Energy of formation from the pure elements, eV/atom: -0.02
SG: C2/m, No. 12

Record 10
Density functional theory data (PBE-GGA) for an optimized crystal structure of Nd2ZnRu3.

POSCAR file:
```
Nd2ZnRu3
1.0
4.682 -2.731 0.000
4.682 2.731 0.000
-3.107 0.000 4.438
Nd Zn Ru
2 1 3
Direct
0.123 0.123 0.377
0.877 0.877 0.623
0.500 0.500 0.000
0.000 0.500 0.000
0.500 0.000 0.000
0.500 0.500 0.500
```

Values from the calculation:
Energy of formation from the pure elements, eV/atom: -0.21
SG: C2/m, No. 12

Record 11
Density functional theory data (PBE-GGA) for an optimized crystal structure of InRu2Br.

POSCAR file:
```
InRu2Br
1.0
3.184 0.000 0.000
0.000 3.981 0.000
0.000 0.000 6.144
In Ru Br
1 2 1
Direct
0.000 0.000 0.000
0.500 0.500 0.192
0.500 0.500 0.808
0.500 0.000 0.500
```

Values from the calculation:
ΔE_f (raw), meV/atom: 553
Relative energy among the computed polymorphs, eV/atom: 0.289
SG: Pmmm, No. 47

Record 12
Density functional theory data (PBE-GGA) for an optimized crystal structure of InHg2Sb.

POSCAR file:
```
InHg2Sb
1.0
5.415 -1.674 0.000
5.415 1.674 0.000
-0.231 0.000 5.912
In Hg Sb
1 2 1
Direct
0.000 0.000 0.000
0.245 0.245 0.717
0.497 0.497 0.509
0.737 0.737 0.216
```

Values from the calculation:
ΔE_f (raw), meV/atom: 81
SG: Cm, No. 8

Record 13
Density functional theory data (PBE-GGA) for an optimized crystal structure of CoAs2Os.

POSCAR file:
```
CoAs2Os
1.0
1.476 -2.558 0.000
1.476 2.558 0.000
0.000 0.000 7.951
Co As Os
1 2 1
Direct
0.000 0.000 0.000
0.500 0.500 0.239
0.500 0.500 0.761
0.000 0.000 0.500
```

Values from the calculation:
Relative energy among the computed polymorphs, eV/atom: 0.445
Energy of formation from the pure elements, eV/atom: 0.53
SG: Cmmm, No. 65

Record 14
Density functional theory data (PBE-GGA) for an optimized crystal structure of TaMoAu2.

POSCAR file:
```
TaMoAu2
1.0
2.836 0.000 0.000
0.000 4.313 0.000
0.000 0.000 5.587
Ta Mo Au
1 1 2
Direct
0.000 0.000 0.000
0.000 0.000 0.500
0.500 0.500 0.253
0.500 0.500 0.747
```

Values from the calculation:
Relative energy among the computed polymorphs, eV/atom: 0.096
Energy of formation from the pure elements, eV/atom: 0.12
SG: Pmmm, No. 47

Record 15
Density functional theory data (PBE-GGA) for an optimized crystal structure of Hg4AsPI2.

POSCAR file:
```
Hg4AsPI2
1.0
5.909 -5.919 0.000
5.909 5.919 0.000
-5.873 0.000 6.384
Hg As P I
8 2 2 4
Direct
0.187 0.214 0.436
0.214 0.187 0.936
0.218 0.757 0.947
0.243 0.782 0.553
0.757 0.218 0.447
0.782 0.243 0.053
0.786 0.813 0.064
0.813 0.786 0.564
0.000 0.500 0.500
0.500 0.000 0.000
0.000 0.000 0.000
0.000 0.000 0.500
0.000 0.500 0.000
0.500 0.000 0.500
0.500 0.500 0.000
0.500 0.500 0.500
```

Values from the calculation:
ΔE_f (raw), meV/atom: 129
SG: C2/c, No. 15

Record 16
Density functional theory data (PBE-GGA) for an optimized crystal structure of TaBeNi5.

POSCAR file:
```
TaBeNi5
1.0
3.630 0.000 0.000
0.000 3.630 0.000
0.000 0.000 6.176
Ta Be Ni
1 1 5
Direct
0.000 0.000 0.000
0.500 0.500 0.500
0.000 0.500 0.296
0.000 0.500 0.704
0.500 0.000 0.296
0.500 0.000 0.704
0.500 0.500 0.000
```

Values from the calculation:
Energy of formation from the pure elements, eV/atom: -0.26
SG: P4/mmm, No. 123

Record 17
Density functional theory data (PBE-GGA) for an optimized crystal structure of TaTeSe2.

POSCAR file:
```
TaTeSe2
1.0
1.704 0.984 10.967
-1.704 0.984 10.967
0.000 -1.968 10.967
Ta Te Se
1 1 2
Direct
0.000 0.000 0.000
0.500 0.500 0.500
0.385 0.385 0.385
0.615 0.615 0.615
```

Values from the calculation:
ΔE_f (raw), meV/atom: -446
SG: R-3m, No. 166

Record 18
Density functional theory data (PBE-GGA) for an optimized crystal structure of EuSiOs.

POSCAR file:
```
EuSiOs
1.0
4.073 0.000 0.000
-2.036 3.527 0.000
0.000 0.000 4.496
Eu Si Os
1 1 1
Direct
0.000 0.000 0.000
0.333 0.667 0.500
0.667 0.333 0.500
```

Values from the calculation:
ΔE_f (raw), meV/atom: -319
SG: P-6m2, No. 187

Record 19
Density functional theory data (PBE-GGA) for an optimized crystal structure of Na2Ni3Te4.

POSCAR file:
```
Na2Ni3Te4
1.0
0.000 6.160 6.320
2.826 0.000 6.320
2.826 6.160 0.000
Na Ni Te
2 3 4
Direct
0.132 0.132 0.868
0.868 0.868 0.132
0.000 0.000 0.500
0.500 0.500 0.000
0.500 0.500 0.500
0.216 0.517 0.483
0.483 0.784 0.216
0.517 0.216 0.784
0.784 0.483 0.517
```

Values from the calculation:
ΔE_f (raw), meV/atom: -338
SG: Fmmm, No. 69

Record 20
Density functional theory data (PBE-GGA) for an optimized crystal structure of Os3RhC.

POSCAR file:
```
Os3RhC
1.0
4.039 0.000 0.000
0.000 4.039 0.000
0.000 0.000 4.039
Os Rh C
3 1 1
Direct
0.000 0.000 0.500
0.000 0.500 0.000
0.500 0.000 0.000
0.500 0.500 0.500
0.000 0.000 0.000
```

Values from the calculation:
Relative energy among the computed polymorphs, eV/atom: 0.000
Energy of formation from the pure elements, eV/atom: 0.54
SG: Pm-3m, No. 221

Record 21
Density functional theory data (PBE-GGA) for an optimized crystal structure of RbBa2Au2.

POSCAR file:
```
RbBa2Au2
1.0
-3.027 3.027 6.905
3.027 -3.027 6.905
3.027 3.027 -6.905
Rb Ba Au
1 2 2
Direct
0.000 0.000 0.000
0.334 0.334 0.000
0.666 0.666 0.000
0.250 0.750 0.500
0.750 0.250 0.500
```

Values from the calculation:
Relative energy among the computed polymorphs, eV/atom: 0.141
Energy of formation from the pure elements, eV/atom: -0.35
SG: I4/mmm, No. 139

Record 22
Density functional theory data (PBE-GGA) for an optimized crystal structure of PmNd5DyY2.

POSCAR file:
```
PmNd5DyY2
1.0
2.853 -10.250 0.000
2.853 10.250 0.000
0.000 0.000 10.750
Pm Nd Dy Y
2 10 2 4
Direct
0.202 0.798 0.500
0.798 0.202 0.000
0.018 0.982 0.513
0.282 0.718 0.800
0.296 0.704 0.194
0.393 0.607 0.517
0.479 0.521 0.234
0.521 0.479 0.734
0.607 0.393 0.017
0.704 0.296 0.694
0.718 0.282 0.300
0.982 0.018 0.013
0.410 0.590 0.950
0.590 0.410 0.450
0.111 0.889 0.228
0.117 0.883 0.811
0.883 0.117 0.311
0.889 0.111 0.728
```

Values from the calculation:
Energy of formation from the pure elements, eV/atom: 0.14
SG: Cmc2_1, No. 36

Record 23
Density functional theory data (PBE-GGA) for an optimized crystal structure of Sr2SnSe2Br2.

POSCAR file:
```
Sr2SnSe2Br2
1.0
-2.797 2.797 7.921
2.797 -2.797 7.921
2.797 2.797 -7.921
Sr Sn Se Br
2 1 2 2
Direct
0.116 0.116 0.000
0.884 0.884 0.000
0.500 0.500 0.000
0.000 0.500 0.500
0.500 0.000 0.500
0.303 0.303 0.000
0.697 0.697 0.000
```

Values from the calculation:
ΔE_f (raw), meV/atom: -1378
SG: I4/mmm, No. 139